(1)
Computed, not measured: a relaxed K2Sn2Au crystal at the PBE level of DFT.

POSCAR file:
```
K2Sn2Au
1.0
-0.8523 -1.9228 -3.9174
3.6442 -2.5094 0.4388
-2.8655 -7.7662 1.9121
K Sn Au
2 2 1
Direct
0.2500 0.7500 0.5000
0.7500 0.2500 0.5000
0.5845 0.5845 0.8311
0.4155 0.4155 0.1689
0.0000 0.0000 0.0000
```

Values from the calculation:
energy above the lowest structure with this stoichiometry: 0.5134 eV per atom
crystal system: tetragonal

=====

(2)
Computed, not measured: a relaxed K2Sn3Au4 crystal at the PBE level of DFT.

POSCAR file:
```
K2Sn3Au4
1.0
-0.4745 -6.7502 0.2661
5.3982 -0.1525 5.7565
-5.9329 4.0376 5.6705
Au Sn K
8 6 4
Direct
0.8209 0.2500 0.1417
0.1738 0.9851 0.3476
0.3209 0.2500 0.1417
0.3262 0.4851 0.6524
0.6738 0.5149 0.3476
0.8262 0.0149 0.6524
0.1791 0.7500 0.8583
0.6791 0.7500 0.8583
0.5000 0.5000 0.0000
0.4890 0.2500 0.4780
0.0000 0.0000 0.0000
0.9890 0.2500 0.4780
0.5110 0.7500 0.5220
0.0110 0.7500 0.5220
0.9038 0.4064 0.8077
0.0962 0.5936 0.1923
0.4038 0.0936 0.8077
0.5962 0.9064 0.1923
```

Values from the calculation:
crystal system: orthorhombic

=====

(3)
Computed, not measured: a relaxed K2Sn2Au crystal at the PBE level of DFT.

POSCAR file:
```
K2Sn2Au
1.0
-2.8421 3.7826 0.0881
-1.7451 -1.2128 -4.2281
-10.9048 -11.3964 10.4178
Au K Sn
2 4 4
Direct
0.5000 0.5000 0.0000
0.2500 0.7500 0.5000
0.5574 0.0574 0.1148
0.9426 0.4426 0.8852
0.8074 0.8074 0.6148
0.1926 0.1926 0.3852
0.6462 0.6462 0.2925
0.3538 0.3538 0.7075
0.1038 0.6038 0.2075
0.3962 0.8962 0.7925
```

Values from the calculation:
energy above the lowest structure with this stoichiometry: 0.1980 eV per atom
crystal system: tetragonal

=====

(4)
Computed, not measured: a relaxed K2Sn2Au7 crystal at the PBE level of DFT.

POSCAR file:
```
K2Sn2Au7
1.0
4.7287 0.1039 0.1143
-0.1423 8.2074 -3.4192
-0.2246 -1.4508 8.7703
Au K Sn
7 2 2
Direct
0.5048 0.1734 0.1734
0.0001 0.5085 0.1564
0.0001 0.1564 0.5085
0.9999 0.4915 0.8436
0.4952 0.8266 0.8266
0.0000 0.0000 0.0000
0.9999 0.8436 0.4915
0.5000 0.1967 0.8033
0.5000 0.8033 0.1967
0.9916 0.6698 0.6698
0.0084 0.3302 0.3302
```

Values from the calculation:
crystal system: monoclinic

=====

(5)
Computed, not measured: a relaxed K3SnAu3 crystal at the PBE level of DFT.

POSCAR file:
```
K3SnAu3
1.0
-0.5435 -5.3769 4.0189
8.7107 2.1686 4.0794
-8.2966 3.7024 3.8314
K Sn Au
6 2 6
Direct
0.2500 0.3024 0.3822
0.7500 0.9202 0.3024
0.7500 0.3822 0.0798
0.2500 0.6178 0.9202
0.7500 0.6976 0.6178
0.2500 0.0798 0.6976
0.2500 0.6667 0.3333
0.7500 0.3333 0.6667
0.2500 0.9247 0.3025
0.7500 0.6223 0.9247
0.7500 0.0753 0.6975
0.7500 0.3025 0.3777
0.2500 0.3777 0.0753
0.2500 0.6975 0.6223
```

Values from the calculation:
energy above the lowest structure with this stoichiometry: 0.1684 eV per atom
crystal system: hexagonal

=====

(6)
Computed, not measured: a relaxed KSn3Au3 crystal at the PBE level of DFT.

POSCAR file:
```
KSn3Au3
1.0
8.0965 0.0000 0.0000
4.0483 7.0118 0.0000
4.0483 2.3373 7.8387
Au K Sn
6 2 6
Direct
0.9032 0.5208 0.3154
0.7393 0.0968 0.6846
0.2607 0.9032 0.3154
0.4792 0.7393 0.6846
0.0968 0.4792 0.6846
0.5208 0.2607 0.3154
0.3339 0.3339 0.9983
0.6661 0.6661 0.0017
0.8135 0.3981 0.6740
0.8856 0.1865 0.3260
0.1865 0.6019 0.3260
0.1144 0.8135 0.6740
0.6019 0.8856 0.3260
0.3981 0.1144 0.6740
```

Values from the calculation:
energy above the lowest structure with this stoichiometry: 0.1593 eV per atom
crystal system: trigonal

=====

| no. | total energy (eV/cell) | energy of formation (meV/atom) | Fermi-level density of states (states/eV per cell) |
| --- | --- | --- | --- |
| 1 | -11.99 | 297 | 2.5 |
| 2 | -59.48 | -269 | 4.8 |
| 3 | -27.13 | -18 | 4.2 |
| 4 | -34.59 | -132 | 2.8 |
| 5 | -36.24 | -142 | 4.7 |
| 6 | -47.65 | -127 | 5.5 |